No. 1
Density functional theory data (PBE) for Sc2Mn2Tl after structural relaxation.

## Properties
- Total magnetization: 0.00 μB/cell
- Uncorrected energy: -32.93 eV per formula unit
- Crystal system: tetragonal
- Symmetry: No. 139
- DFT formation energy: 0.088 eV per atom

Lattice parameters (Å, degrees): 9.254 9.254 9.254 159.89 159.89 28.59
Fractional positions:
Sc1 0.124 0.124 0.000
Sc2 0.876 0.876 0.000
Mn1 0.250 0.750 0.500
Mn2 0.750 0.250 0.500
Tl1 0.500 0.500 0.000



No. 2
Density functional theory data (PBE) for Sc4MnTl after structural relaxation.

## Properties
- Total magnetization: 0.44 μB/cell
- Uncorrected energy: -37.65 eV per formula unit
- Crystal system: monoclinic
- Symmetry: No. 15
- DFT formation energy: -0.131 eV per atom

Lattice parameters (Å, degrees): 7.406 7.406 5.565 99.59 99.59 112.22
Fractional positions:
Sc1 0.058 0.728 0.950
Sc2 0.196 0.349 0.622
Sc3 0.272 0.942 0.550
Sc4 0.349 0.196 0.122
Sc5 0.651 0.804 0.878
Sc6 0.728 0.058 0.450
Sc7 0.804 0.651 0.378
Sc8 0.942 0.272 0.050
Mn1 0.002 0.998 0.750
Mn2 0.998 0.002 0.250
Tl1 0.371 0.629 0.250
Tl2 0.629 0.371 0.750



No. 3
Density functional theory data (PBE) for Sc6Mn2Tl after structural relaxation.

## Properties
- Total magnetization: 3.24 μB/cell
- Uncorrected energy: -59.69 eV per formula unit
- Crystal system: orthorhombic
- Symmetry: No. 71
- DFT formation energy: -0.111 eV per atom

Lattice parameters (Å, degrees): 7.880 7.880 7.880 110.92 110.50 107.03
Fractional positions:
Sc1 0.015 0.235 0.779
Sc2 0.191 0.289 0.480
Sc3 0.191 0.711 0.903
Sc4 0.312 0.020 0.708
Sc5 0.312 0.604 0.292
Sc6 0.456 0.235 0.221
Sc7 0.544 0.765 0.779
Sc8 0.688 0.396 0.708
Sc9 0.688 0.980 0.292
Sc10 0.809 0.289 0.097
Sc11 0.809 0.711 0.520
Sc12 0.985 0.765 0.221
Mn1 0.112 0.612 0.500
Mn2 0.381 0.000 0.381
Mn3 0.619 0.000 0.619
Mn4 0.888 0.388 0.500
Tl1 0.000 0.000 0.000
Tl2 0.500 0.500 0.000



No. 4
Density functional theory data (PBE) for Sc2MnTl after structural relaxation.

## Properties
- Total magnetization: 1.88 μB/cell
- Uncorrected energy: -24.22 eV per formula unit
- Crystal system: tetragonal
- Symmetry: No. 119
- DFT formation energy: -0.005 eV per atom

Lattice parameters (Å, degrees): 5.443 5.443 5.443 133.95 133.95 67.16
Fractional positions:
Sc1 0.000 0.000 0.000
Sc2 0.750 0.250 0.500
Mn1 0.500 0.500 0.000
Tl1 0.250 0.750 0.500



No. 5
Density functional theory data (PBE) for Sc2MnTl after structural relaxation.

## Properties
- Total magnetization: 2.76 μB/cell
- Uncorrected energy: -24.38 eV per formula unit
- Crystal system: tetragonal
- Symmetry: No. 123
- DFT formation energy: -0.046 eV per atom

Lattice parameters (Å, degrees): 4.477 4.477 4.144 90.00 90.00 90.00
Fractional positions:
Sc1 0.000 0.500 0.000
Sc2 0.500 0.000 0.000
Mn1 0.000 0.000 0.500
Tl1 0.500 0.500 0.500



No. 6
Density functional theory data (PBE) for ScMn2Tl after structural relaxation.

## Properties
- Total magnetization: 5.88 μB/cell
- Uncorrected energy: -26.35 eV per formula unit
- Crystal system: tetragonal
- Symmetry: No. 119
- DFT formation energy: 0.172 eV per atom

Lattice parameters (Å, degrees): 5.210 5.210 5.210 134.15 134.15 66.86
Fractional positions:
Sc1 0.000 0.000 0.000
Mn1 0.250 0.750 0.500
Mn2 0.500 0.500 0.000
Tl1 0.750 0.250 0.500